Entry 1:
Density functional theory data (PBE) for a geometry-optimized SrPS2Cl structure.

Results
Its energy above the lowest structure with this stoichiometry is 1.601 eV/atom.

Unit cell a=5.641 b=5.641 c=6.068 alpha=90.00 beta=90.00 gamma=90.00
Space group P4/mmm (No. 123)
Symmetry-distinct sites (fractional):
Sr 0.000 0.000 0.000
P 0.000 0.000 0.500
S 0.000 0.500 0.000
Cl 0.500 0.500 0.500

Entry 2:
Density functional theory data (PBE) for a geometry-optimized DyPuCdSn structure.

Results
The formation energy from the elements comes out at -322 meV per atom.

Unit cell a=7.535 b=7.535 c=7.535 alpha=90.00 beta=90.00 gamma=90.00
Space group F-43m (No. 216)
Symmetry-distinct sites (fractional):
Dy 0.000 0.000 0.000
Pu 0.000 0.000 0.500
Cd 0.250 0.250 0.750
Sn 0.250 0.250 0.250

Entry 3:
Density functional theory data (PBE) for a geometry-optimized Sm5Tl2Ge structure.

Results
The formation energy from the elements comes out at -431 meV per atom.

Unit cell a=7.069 b=13.024 c=5.098 alpha=90.00 beta=90.00 gamma=90.00
Space group Pbam (No. 55)
Symmetry-distinct sites (fractional):
Sm 0.000 0.000 0.000
Sm 0.136 0.283 0.000
Sm 0.173 0.586 0.500
Tl 0.107 0.840 0.500
Ge 0.000 0.500 0.000

Entry 4:
Density functional theory data (PBE) for a geometry-optimized K2Ag2Sn structure.

Results
Its energy above the lowest structure with this stoichiometry is 0.068 eV/atom. The formation energy from the elements comes out at -19 meV per atom.

Unit cell a=7.417 b=7.417 c=5.564 alpha=90.00 beta=90.00 gamma=90.00
Space group P4/mbm (No. 127)
Symmetry-distinct sites (fractional):
K 0.177 0.323 0.000
Ag 0.138 0.638 0.500
Sn 0.000 0.000 0.500

Entry 5:
Density functional theory data (PBE) for a geometry-optimized TaIn2W structure.

Results
Its energy above the lowest structure with this stoichiometry is 0.088 eV/atom. The formation energy from the elements comes out at 406 meV per atom.

Unit cell a=2.922 b=4.815 c=5.486 alpha=90.00 beta=96.85 gamma=90.00
Space group Pm (No. 6)
Symmetry-distinct sites (fractional):
Ta 0.000 0.000 0.000
In 0.373 0.500 0.764
In 0.484 0.000 0.480
W 0.851 0.500 0.246

Entry 6:
Density functional theory data (PBE) for a geometry-optimized FeB2PdS structure.

Results
Its raw total energy is -25.0 eV per formula unit.

Unit cell a=3.860 b=3.860 c=4.113 alpha=90.00 beta=90.00 gamma=90.00
Space group P4/mmm (No. 123)
Symmetry-distinct sites (fractional):
Fe 0.000 0.000 0.000
B 0.000 0.500 0.500
Pd 0.500 0.500 0.000
S 0.000 0.000 0.500

Repeat the third record exactly.
Density functional theory data (PBE) for a geometry-optimized Sm5Tl2Ge structure.

Results
The formation energy from the elements comes out at -431 meV per atom.

Unit cell a=7.069 b=13.024 c=5.098 alpha=90.00 beta=90.00 gamma=90.00
Space group Pbam (No. 55)
Symmetry-distinct sites (fractional):
Sm 0.000 0.000 0.000
Sm 0.136 0.283 0.000
Sm 0.173 0.586 0.500
Tl 0.107 0.840 0.500
Ge 0.000 0.500 0.000